# 1
DFT (PBE) results for crystalline Ac6SmDy2 at its relaxed geometry.

Lattice parameters (Å, degrees): 9.3081 9.3081 10.0761 98.41 98.41 61.25
Fractional coordinates of all 18 atoms:
Ac  0.0844  0.6446  0.4824
Ac  0.0945  0.7046  0.8736
Ac  0.2954  0.9055  0.6264
Ac  0.3151  0.4461  0.1671
Ac  0.3554  0.9156  0.0176
Ac  0.4461  0.3151  0.6671
Ac  0.5539  0.6849  0.3329
Ac  0.6446  0.0844  0.9824
Ac  0.6849  0.5539  0.8329
Ac  0.7046  0.0945  0.3736
Ac  0.9055  0.2954  0.1264
Ac  0.9156  0.3554  0.5176
Sm  0.1023  0.8977  0.2500
Sm  0.8977  0.1023  0.7500
Dy  0.1400  0.2966  0.8510
Dy  0.2966  0.1400  0.3510
Dy  0.7034  0.8600  0.6490
Dy  0.8600  0.7034  0.1490

DFT formation energy: 0.16 eV per atom
SG: C2/c, No. 15
E_tot: -74.20 eV per cell

---

# 2
DFT (PBE) results for crystalline NpCu2Br8 at its relaxed geometry.

Lattice parameters (Å, degrees): 7.9119 7.9119 7.1573 90.89 90.89 63.65
Fractional coordinates of all 11 atoms:
Np  0.0000  0.0000  0.0000
Cu  0.2059  0.2059  0.7496
Cu  0.7941  0.7941  0.2504
Br  0.1160  0.6544  0.1621
Br  0.1203  0.1203  0.2958
Br  0.3456  0.8840  0.8379
Br  0.3590  0.3590  0.6271
Br  0.6410  0.6410  0.3729
Br  0.6544  0.1160  0.1621
Br  0.8797  0.8797  0.7042
Br  0.8840  0.3456  0.8379

uncorrected formation energy: -0.682 eV per atom
SG: C2/m, No. 12
E_tot: -42.01 eV per cell

---

# 3
DFT (PBE) results for crystalline NiAsRu at its relaxed geometry.

Lattice parameters (Å, degrees): 5.6474 5.6474 5.6474 90.00 90.00 90.00
Fractional coordinates of all 12 atoms:
Ni  0.0000  0.0000  0.0000
Ni  0.0000  0.5000  0.5000
Ni  0.5000  0.0000  0.5000
Ni  0.5000  0.5000  0.0000
As  0.2500  0.2500  0.7500
As  0.2500  0.7500  0.2500
As  0.7500  0.2500  0.2500
As  0.7500  0.7500  0.7500
Ru  0.2500  0.2500  0.2500
Ru  0.2500  0.7500  0.7500
Ru  0.7500  0.2500  0.7500
Ru  0.7500  0.7500  0.2500

DFT formation energy: 0.29 eV per atom
SG: F-43m, No. 216
E_tot: -75.36 eV per cell

---

# 4
DFT (PBE) results for crystalline BP3Pb at its relaxed geometry.

Lattice parameters (Å, degrees): 5.2236 5.2236 5.2236 90.00 90.00 90.00
Fractional coordinates of all 5 atoms:
B  0.0000  0.0000  0.0000
P  0.0000  0.5000  0.5000
P  0.5000  0.0000  0.5000
P  0.5000  0.5000  0.0000
Pb  0.5000  0.5000  0.5000

DFT formation energy: 2.31 eV per atom
SG: Pm-3m, No. 221
E_tot: -15.06 eV per cell

---

# 5
DFT (PBE) results for crystalline Hf4Cu2Pt at its relaxed geometry.

Lattice parameters (Å, degrees): 5.0045 5.0045 12.7943 90.00 90.00 90.00
Fractional coordinates of all 14 atoms:
Hf  0.0000  0.0000  0.2034
Hf  0.0000  0.0000  0.7966
Hf  0.0000  0.5000  0.0000
Hf  0.0000  0.5000  0.5000
Hf  0.5000  0.0000  0.0000
Hf  0.5000  0.0000  0.5000
Hf  0.5000  0.5000  0.2966
Hf  0.5000  0.5000  0.7034
Cu  0.0000  0.0000  0.4029
Cu  0.0000  0.0000  0.5971
Cu  0.5000  0.5000  0.0971
Cu  0.5000  0.5000  0.9029
Pt  0.0000  0.0000  0.0000
Pt  0.5000  0.5000  0.5000

DFT formation energy: 0.34 eV per atom
SG: I4/mmm, No. 139
E_tot: -103.37 eV per cell

---

# 6
DFT (PBE) results for crystalline TmICl2 at its relaxed geometry.

Lattice parameters (Å, degrees): 3.6880 7.2708 7.2752 108.85 104.49 104.60
Fractional coordinates of all 4 atoms:
Tm  0.0000  0.0000  0.0000
I  0.8074  0.3103  0.3103
Cl  0.3809  0.7393  0.0212
Cl  0.3824  0.0217  0.7398

uncorrected formation energy: -1.895 eV per atom
SG: P1, No. 1
E_tot: -17.29 eV per cell

---

# 7
DFT (PBE) results for crystalline Nd3Br at its relaxed geometry.

Lattice parameters (Å, degrees): 4.9989 4.9989 4.9989 90.00 90.00 90.00
Fractional coordinates of all 4 atoms:
Nd  0.0000  0.0000  0.5000
Nd  0.0000  0.5000  0.0000
Nd  0.5000  0.0000  0.0000
Br  0.5000  0.5000  0.5000

uncorrected formation energy: -0.107 eV per atom
SG: Pm-3m, No. 221
E_tot: -16.40 eV per cell

---

# 8
DFT (PBE) results for crystalline MgZrTe2 at its relaxed geometry.

Lattice parameters (Å, degrees): 3.8770 3.8964 13.6835 90.00 90.00 90.00
Fractional coordinates of all 8 atoms:
Mg  0.0000  0.0000  0.0000
Mg  0.5000  0.5000  0.5000
Zr  0.0000  0.5000  0.2294
Zr  0.5000  0.0000  0.7294
Te  0.0000  0.0000  0.5703
Te  0.0000  0.5000  0.8187
Te  0.5000  0.0000  0.3187
Te  0.5000  0.5000  0.0703

uncorrected formation energy: -0.666 eV per atom
SG: Imm2, No. 44
E_tot: -38.18 eV per cell